A relaxed structure of LiLaNdSi, computed with PBE.

Properties
Its final energy is -18.38 eV per formula unit. As for the space group: F-43m. The formation energy without anion corrections is -338 meV/atom.

a = 5.2108 Å, b = 5.2108 Å, c = 5.2108 Å
α = 60.00°, β = 60.00°, γ = 60.00°
With the nearest neighbours (Å) after each atom.
Element x y z (fractional)
Si 0.2500 0.2500 0.2500  4 La 3.19, 4 Nd 3.19
Li 0.7500 0.7500 0.7500  4 Nd 3.19, 4 La 3.19
Nd 0.0000 0.0000 0.0000  4 Li 3.19, 4 Si 3.19
La 0.5000 0.5000 0.5000  4 Si 3.19, 4 Li 3.19

=====

A relaxed structure of Li2La2NdSn2, computed with PBE.

Properties
Its final energy is -29.96 eV per formula unit. Its formation energy from the elements is -501 meV per atom. As for the space group: R-3m.

a = 4.8392 Å, b = 4.8392 Å, c = 9.7392 Å
α = 75.61°, β = 75.61°, γ = 60.00°
With the nearest neighbours (Å) after each atom.
Element x y z (fractional)
Li 0.5975 0.5975 0.2075  3 Sn 2.79
Li 0.4025 0.4025 0.7925  3 Sn 2.79
La 0.1335 0.1335 0.5994  3 Li 3.32, 4 Sn 3.34-3.69, 3 La 3.35
La 0.8665 0.8665 0.4006  3 Li 3.32, 4 Sn 3.34-3.69, 3 La 3.35
Nd 0.0000 0.0000 0.0000  6 Sn 3.38, 6 Li 3.40, 2 La 3.74
Sn 0.7346 0.7346 0.7963  3 Li 2.79
Sn 0.2654 0.2654 0.2037  3 Li 2.79

=====

A relaxed structure of LiLaNdSn, computed with PBE.

Properties
Its final energy is -17.41 eV per formula unit. Its formation energy from the elements is -449 meV per atom. As for the space group: F-43m.

a = 5.4529 Å, b = 5.4529 Å, c = 5.4529 Å
α = 60.00°, β = 60.00°, γ = 60.00°
With the nearest neighbours (Å) after each atom.
Element x y z (fractional)
Li 0.7500 0.7500 0.7500  4 La 3.34, 4 Nd 3.34
Nd 0.0000 0.0000 0.0000  4 Sn 3.34, 4 Li 3.34
Sn 0.2500 0.2500 0.2500  4 La 3.34, 4 Nd 3.34
La 0.5000 0.5000 0.5000  4 Sn 3.34, 4 Li 3.34

=====

A relaxed structure of Li2LaNd2Sn2, computed with PBE.

Properties
Its final energy is -29.75 eV per formula unit. Its formation energy from the elements is -493 meV per atom. As for the space group: R-3m.

a = 4.8831 Å, b = 4.8831 Å, c = 9.7577 Å
α = 75.51°, β = 75.51°, γ = 60.00°
With the nearest neighbours (Å) after each atom.
Element x y z (fractional)
Li 0.5920 0.5920 0.2240  3 Sn 2.82
Li 0.4080 0.4080 0.7760  3 Sn 2.82
La 0.0000 0.0000 0.0000  6 Sn 3.46, 6 Li 3.51, 2 Nd 3.65
Nd 0.1304 0.1304 0.6087  3 Li 3.22, 3 Sn 3.26, 3 Nd 3.48
Nd 0.8696 0.8696 0.3913  3 Li 3.22, 3 Sn 3.26, 3 Nd 3.48
Sn 0.7384 0.7384 0.7848  3 Li 2.82
Sn 0.2616 0.2616 0.2152  3 Li 2.82

=====

A relaxed structure of LiLa3Nd3Te8, computed with PBE.

Properties
Its final energy is -78.09 eV per formula unit. As for the space group: R-3m. The formation energy without anion corrections is -1464 meV/atom.

a = 9.0250 Å, b = 9.0247 Å, c = 9.0413 Å
α = 119.93°, β = 90.00°, γ = 120.00°
With the nearest neighbours (Å) after each atom.
Element x y z (fractional)
Li 0.0000 0.0000 0.5000  6 Te 3.14
La 0.0000 0.0000 0.0000  6 Te 3.21-3.22
La 0.0000 0.5000 0.0000  6 Te 3.21-3.22
La 0.5000 0.5000 0.0000  6 Te 3.21-3.22
Nd 0.5000 0.0000 0.5000  6 Te 3.17-3.18
Nd 0.5000 0.5000 0.5000  6 Te 3.17-3.18
Nd 0.0000 0.5000 0.5000  6 Te 3.17-3.18
Te 0.2517 0.5035 0.2552  3 Nd 3.17, 3 La 3.22
Te 0.7483 0.4965 0.7448  3 Nd 3.17, 3 La 3.22
Te 0.7541 0.5081 0.2569  1 Li 3.14, 2 Nd 3.18, 2 La 3.21
Te 0.2459 0.4919 0.7431  1 Li 3.14, 2 Nd 3.18, 2 La 3.21
Te 0.7541 0.0029 0.2569  1 Li 3.14, 2 Nd 3.18, 2 La 3.21
Te 0.2459 0.9971 0.7431  1 Li 3.14, 2 Nd 3.18, 2 La 3.21
Te 0.2488 0.0029 0.2569  1 Li 3.14, 2 Nd 3.18, 2 La 3.21
Te 0.7512 0.9971 0.7431  1 Li 3.14, 2 Nd 3.18, 2 La 3.21

=====

A relaxed structure of LiLaNd2Te4, computed with PBE.

Properties
Its final energy is -40.28 eV per formula unit. As for the space group: P2/m. The formation energy without anion corrections is -1416 meV/atom.

a = 4.4785 Å, b = 7.8458 Å, c = 7.7259 Å
α = 70.64°, β = 90.00°, γ = 90.00°
With the nearest neighbours (Å) after each atom.
Element x y z (fractional)
Li 0.5000 0.5000 0.0000  6 Te 3.10-3.12
La 0.0000 0.5000 0.5000  6 Te 3.19-3.20
Nd 0.0000 0.0000 0.0000  6 Te 3.16
Nd 0.5000 0.0000 0.5000  6 Te 3.24-3.25
Te 0.0000 0.7421 0.7612  2 Li 3.11-3.12, 3 Nd 3.16-3.24, 1 La 3.20
Te 0.0000 0.2579 0.2388  2 Li 3.11, 3 Nd 3.16-3.24, 1 La 3.20
Te 0.5000 0.7473 0.2411  1 Li 3.10, 3 Nd 3.16-3.25, 2 La 3.19
Te 0.5000 0.2527 0.7589  1 Li 3.10, 3 Nd 3.16-3.25, 2 La 3.19

=====

Number 1: magnetic moment 0.00 μB/cell. Number 2: magnetic moment 0.00 μB/cell. Number 3: magnetic moment 0.00 μB/cell. Number 4: magnetic moment 0.00 μB/cell. Number 5: magnetic moment 0.00 μB/cell. Number 6: magnetic moment 0.00 μB/cell.